The following is a DFT calculation (PBE) of an optimized crystal structure of KZr2Co.

```
KZr2Co
1.0
3.314 0.033 0.000
-0.034 3.313 0.000
0.000 0.000 9.255
Co K Zr
1 1 2
direct
0.000 0.000 0.419
0.500 0.500 0.704
0.000 0.000 0.078
0.500 0.500 0.299
```

The calculation puts the density at 4.58 g/cm3. The energy relative to the lowest polymorph listed for this composition is 69 meV per atom. Its space group is P4mm. Its formation energy from the elements is 0.3302 eV per atom.